Entry 1
VASP calculation (PBE) on a relaxed structure of Pm2ScPd2.

Properties
Magnetic moment: 0.000 μB/cell
Theoretical density: 7.55 g/cm³

abc: 7.685 7.685 4.082
angles: 90.00 90.00 90.00
Fractional coordinates of all 10 atoms:
1 Pm 0.172 0.328 0.000
2 Pm 0.328 0.828 0.000
3 Pm 0.672 0.172 0.000
4 Pm 0.828 0.672 0.000
5 Sc 0.000 0.000 0.500
6 Sc 0.500 0.500 0.500
7 Pd 0.132 0.632 0.500
8 Pd 0.368 0.132 0.500
9 Pd 0.632 0.868 0.500
10 Pd 0.868 0.368 0.500

Entry 2
VASP calculation (PBE) on a relaxed structure of Pm2ScPd2.

Properties
Magnetic moment: 0.000 μB/cell
Theoretical density: 7.44 g/cm³

abc: 6.663 6.663 11.185
angles: 118.17 118.17 34.49
Fractional coordinates of all 10 atoms:
1 Pm 0.040 0.040 0.192
2 Pm 0.172 0.172 0.585
3 Pm 0.828 0.828 0.415
4 Pm 0.960 0.960 0.808
5 Sc 0.292 0.292 0.136
6 Sc 0.708 0.708 0.864
7 Pd 0.371 0.371 0.944
8 Pd 0.490 0.490 0.623
9 Pd 0.510 0.510 0.377
10 Pd 0.629 0.629 0.056

Stability check: which of them is least stable? entry 1.

Entry 1
VASP calculation (PBE) on a relaxed structure of Pm2ScPd.

Properties
Magnetic moment: 0.000 μB/cell
Theoretical density: 7.17 g/cm³

abc: 5.275 5.275 3.674
angles: 90.00 90.00 90.00
Fractional coordinates of all 4 atoms:
1 Pm 0.000 0.500 0.000
2 Pm 0.500 0.000 0.000
3 Sc 0.000 0.000 0.500
4 Pd 0.500 0.500 0.500

Entry 2
VASP calculation (PBE) on a relaxed structure of Pm2ScPd.

Properties
Magnetic moment: 0.000 μB/cell
Theoretical density: 6.70 g/cm³

abc: 11.172 11.172 11.172
angles: 17.45 17.45 17.45
Fractional coordinates of all 4 atoms:
1 Pm 0.082 0.082 0.082
2 Pm 0.918 0.918 0.918
3 Sc 0.500 0.500 0.500
4 Pd 0.000 0.000 0.000

Entry 3
VASP calculation (PBE) on a relaxed structure of Pm2ScPd.

Properties
Magnetic moment: 0.002 μB/cell
Theoretical density: 6.96 g/cm³

abc: 3.712 3.712 7.641
angles: 90.00 90.00 90.00
Fractional coordinates of all 4 atoms:
1 Pm 0.000 0.000 0.221
2 Pm 0.000 0.000 0.779
3 Sc 0.500 0.500 0.500
4 Pd 0.500 0.500 0.000

Entry 4
VASP calculation (PBE) on a relaxed structure of Pm2ScPd.

Properties
Magnetic moment: 0.003 μB/cell
Theoretical density: 6.62 g/cm³

abc: 9.898 9.898 9.898
angles: 21.17 21.17 21.17
Fractional coordinates of all 4 atoms:
1 Pm 0.000 0.000 0.000
2 Pm 0.190 0.190 0.190
3 Sc 0.428 0.428 0.428
4 Pd 0.596 0.596 0.596

Stability check: which of them is least stable? entry 2.

Entry 1
VASP calculation (PBE) on a relaxed structure of PmPdSe.

Properties
Magnetic moment: 0.000 μB/cell
Theoretical density: 8.48 g/cm³

abc: 4.391 4.391 3.873
angles: 90.00 90.00 120.00
Fractional coordinates of all 3 atoms:
1 Pm 0.000 0.000 0.000
2 Pd 0.667 0.333 0.500
3 Se 0.333 0.667 0.500

Entry 2
VASP calculation (PBE) on a relaxed structure of PmPdSe.

Properties
Magnetic moment: 0.000 μB/cell
Theoretical density: 8.03 g/cm³

abc: 5.711 6.805 7.544
angles: 90.00 111.16 90.00
Fractional coordinates of all 12 atoms:
1 Pm 0.184 0.185 0.349
2 Pm 0.184 0.315 0.849
3 Pm 0.816 0.685 0.151
4 Pm 0.816 0.815 0.651
5 Pd 0.216 0.603 0.531
6 Pd 0.216 0.897 0.031
7 Pd 0.784 0.103 0.969
8 Pd 0.784 0.397 0.469
9 Se 0.340 0.554 0.202
10 Se 0.340 0.946 0.702
11 Se 0.660 0.054 0.298
12 Se 0.660 0.446 0.798

Entry 3
VASP calculation (PBE) on a relaxed structure of PmPdSe.

Properties
Magnetic moment: 0.000 μB/cell
Theoretical density: 8.11 g/cm³

abc: 5.231 5.231 5.231
angles: 136.20 136.20 63.68
Fractional coordinates of all 3 atoms:
1 Pm 0.000 0.000 0.000
2 Pd 0.661 0.661 0.000
3 Se 0.357 0.357 0.000

Stability check: which of them is least stable? entry 3.

Entry 1
VASP calculation (PBE) on a relaxed structure of PmSiPd2.

Properties
Magnetic moment: 0.000 μB/cell
Theoretical density: 7.65 g/cm³

abc: 3.791 4.055 5.448
angles: 90.00 90.00 90.00
Fractional coordinates of all 4 atoms:
1 Pm 0.000 0.000 0.000
2 Si 0.500 0.000 0.500
3 Pd 0.500 0.500 0.252
4 Pd 0.500 0.500 0.748

Entry 2
VASP calculation (PBE) on a relaxed structure of PmSiPd2.

Properties
Magnetic moment: 0.000 μB/cell
Theoretical density: 8.49 g/cm³

abc: 4.412 4.412 3.879
angles: 90.00 90.00 90.00
Fractional coordinates of all 4 atoms:
1 Pm 0.000 0.000 0.000
2 Si 0.500 0.500 0.000
3 Pd 0.000 0.500 0.500
4 Pd 0.500 0.000 0.500

Stability check: which of them is least stable? entry 2.

Entry 1
VASP calculation (PBE) on a relaxed structure of PmSi2Pd.

Properties
Magnetic moment: 0.000 μB/cell
Theoretical density: 6.84 g/cm³

abc: 4.213 4.213 4.207
angles: 90.00 90.00 90.00
Fractional coordinates of all 4 atoms:
1 Pm 0.000 0.000 0.000
2 Si 0.000 0.500 0.500
3 Si 0.500 0.000 0.500
4 Pd 0.500 0.500 0.000

Entry 2
VASP calculation (PBE) on a relaxed structure of PmSi2Pd.

Properties
Magnetic moment: 0.000 μB/cell
Theoretical density: 5.91 g/cm³

abc: 4.042 4.648 4.648
angles: 81.79 90.00 90.00
Fractional coordinates of all 4 atoms:
1 Pm 0.000 0.000 0.000
2 Si 0.500 0.518 0.888
3 Si 0.500 0.888 0.518
4 Pd 0.500 0.393 0.393

Stability check: which of them is least stable? entry 1.

Entry 1
VASP calculation (PBE) on a relaxed structure of PmSiPd.

Properties
Magnetic moment: 0.000 μB/cell
Theoretical density: 6.83 g/cm³

abc: 4.580 4.580 4.580
angles: 60.00 60.00 60.00
Fractional coordinates of all 3 atoms:
1 Pm 0.000 0.000 0.000
2 Si 0.250 0.250 0.250
3 Pd 0.500 0.500 0.500

Entry 2
VASP calculation (PBE) on a relaxed structure of PmSiPd.

Properties
Magnetic moment: 0.000 μB/cell
Theoretical density: 7.26 g/cm³

abc: 4.209 4.209 8.329
angles: 90.00 90.00 120.00
Fractional coordinates of all 6 atoms:
1 Pm 0.000 0.000 0.000
2 Pm 0.000 0.000 0.500
3 Si 0.333 0.667 0.250
4 Si 0.667 0.333 0.750
5 Pd 0.333 0.667 0.750
6 Pd 0.667 0.333 0.250

Stability check: which of them is least stable? entry 1.